## Pm4SiH2 (PBE)

Data for Pm4SiH2 after structural relaxation.

Geometry as POSCAR:
```
Pm4SiH2
1.0
-4.809 4.809 3.517
4.809 -4.809 3.517
4.809 4.809 -3.517
Pm Si H
8 2 4
Cartesian
4.291 -2.860 2.462 Pm
7.670 -0.518 1.054 Pm
5.327 1.949 -0.704 Pm
1.949 0.518 1.054 Pm
1.949 4.291 0.704 Pm
5.327 2.860 2.462 Pm
2.860 0.518 4.221 Pm
-0.518 2.860 2.813 Pm
4.809 0.000 1.758 Si
0.000 0.000 3.517 Si
0.669 2.405 0.879 H
-2.405 4.141 2.637 H
-0.669 7.214 0.879 H
2.405 5.478 2.637 H
```

Calculated values
calculated total energy: -67.90 eV per cell
calculated volume: 325.4 Å³/cell
total magnetization: 0.99 μB/cell



## CdTcPb2 (PBE)

Data for CdTcPb2 after structural relaxation.

Geometry as POSCAR:
```
CdTcPb2
1.0
3.202 0.000 0.000
0.000 3.202 0.000
0.000 0.000 9.477
Cd Tc Pb
1 1 2
Cartesian
0.000 0.000 0.000 Cd
1.601 1.601 7.665 Tc
0.000 0.000 5.686 Pb
1.601 1.601 2.512 Pb
```

Calculated values
calculated volume: 97.2 Å³/cell
total magnetization: 1.74 μB/cell
formation enthalpy at 0 K: 0.4525 eV/atom



## Y4Al3Zn (PBE)

Data for Y4Al3Zn after structural relaxation.

Geometry as POSCAR:
```
Y4Al3Zn
1.0
3.597 0.000 0.000
0.000 3.597 0.000
0.000 0.000 14.448
Y Al Zn
4 3 1
Cartesian
0.000 0.000 1.756 Y
0.000 0.000 5.408 Y
0.000 0.000 9.041 Y
0.000 0.000 12.693 Y
1.798 1.798 3.574 Al
1.798 1.798 7.224 Al
1.798 1.798 10.875 Al
1.798 1.798 0.000 Zn
```

Calculated values
calculated volume: 186.9 Å³/cell
total magnetization: 0.00 μB/cell
formation enthalpy at 0 K: -0.4113 eV/atom



## K12Tl3Ag5 (PBE)

Data for K12Tl3Ag5 after structural relaxation.

Geometry as POSCAR:
```
K12Tl3Ag5
1.0
-10.269 10.269 10.269
10.269 -10.269 10.269
10.269 10.269 -10.269
K Tl Ag
48 12 20
Cartesian
3.084 -0.468 1.412 K
12.320 6.547 -5.603 K
9.801 -1.412 3.084 K
15.873 -2.051 3.723 K
13.353 0.468 1.412 K
12.320 -3.723 5.603 K
1.412 3.084 -0.468 K
13.992 4.666 -2.051 K
6.547 5.603 -2.051 K
8.858 3.084 0.468 K
-0.468 1.412 3.084 K
5.603 -2.051 6.547 K
9.801 8.858 -3.084 K
5.603 2.051 3.723 K
8.858 -3.084 9.801 K
6.547 -5.603 12.320 K
3.723 5.603 2.051 K
11.681 7.186 0.468 K
3.084 9.801 -1.412 K
12.320 3.723 4.666 K
5.603 12.320 -3.723 K
9.801 1.412 7.186 K
2.051 3.723 5.603 K
3.084 0.468 8.858 K
7.186 9.801 1.412 K
8.218 6.547 4.666 K
0.468 8.858 3.084 K
4.666 -2.051 13.992 K
-2.051 6.547 5.603 K
7.186 0.468 11.681 K
-1.412 3.084 9.801 K
6.547 4.666 8.218 K
3.723 15.873 -2.051 K
1.412 13.353 0.468 K
4.666 8.218 6.547 K
0.468 1.412 13.353 K
4.666 12.320 3.723 K
10.738 8.858 7.186 K
1.412 7.186 9.801 K
3.723 4.666 12.320 K
-3.723 5.603 12.320 K
8.858 7.186 10.738 K
-2.051 13.992 4.666 K
-3.084 9.801 8.858 K
-5.603 12.320 6.547 K
0.468 11.681 7.186 K
-2.051 3.723 15.873 K
7.186 10.738 8.858 K
5.135 2.567 0.000 Tl
10.269 5.135 -2.567 Tl
2.567 0.000 5.135 Tl
12.837 0.000 5.135 Tl
0.000 5.135 2.567 Tl
5.135 -2.567 10.269 Tl
5.135 12.837 0.000 Tl
10.269 5.135 7.702 Tl
-2.567 10.269 5.135 Tl
7.702 10.269 5.135 Tl
0.000 5.135 12.837 Tl
5.135 7.702 10.269 Tl
0.000 0.000 0.000 Ag
5.135 5.135 -5.135 Ag
5.135 -5.135 5.135 Ag
10.269 0.000 0.000 Ag
15.404 2.567 0.000 Ag
10.269 -5.135 7.702 Ag
7.702 10.269 -5.135 Ag
7.702 0.000 5.135 Ag
5.135 7.702 0.000 Ag
10.269 5.135 2.567 Ag
-5.135 5.135 5.135 Ag
0.000 10.269 0.000 Ag
0.000 0.000 10.269 Ag
5.135 5.135 5.135 Ag
0.000 5.135 7.702 Ag
5.135 2.567 10.269 Ag
2.567 10.269 5.135 Ag
2.567 0.000 15.404 Ag
0.000 15.404 2.567 Ag
-5.135 7.702 10.269 Ag
```

Calculated values
calculated volume: 4332.1 Å³/cell
total magnetization: 10.27 μB/cell
formation enthalpy at 0 K: 0.1662 eV/atom